Entry 1:
Density functional theory data (PBE-GGA) for crystalline TmPu2Pt3 at its relaxed geometry.

Lattice parameters (Å, degrees): 7.022 7.022 7.022 146.22 131.93 60.04
Sites, in units of the cell vectors:
Tm 0.000 0.000 0.000
Pu 0.335 0.335 0.000
Pu 0.665 0.665 0.000
Pt 0.167 0.667 0.500
Pt 0.500 0.000 0.500
Pt 0.833 0.333 0.500

Values from the calculation:
VASP energy = -0.3455 hartree per atom
Total moment = 10.319 Bohr magnetons per cell
Fermi-level density of states = 21.19 states/eV/f.u.
Crystal system = orthorhombic
Calculated formation energy = -858 meV per atom
E above lowest polymorph = 0.31 eV per formula unit

Entry 2:
Density functional theory data (PBE-GGA) for crystalline Tm3PuPt12 at its relaxed geometry.

Lattice parameters (Å, degrees): 4.105 4.105 16.431 90.00 90.00 90.00
Sites, in units of the cell vectors:
Tm 0.000 0.000 0.000
Tm 0.000 0.000 0.247
Tm 0.000 0.000 0.753
Pu 0.000 0.000 0.500
Pt 0.000 0.500 0.124
Pt 0.000 0.500 0.373
Pt 0.000 0.500 0.627
Pt 0.000 0.500 0.876
Pt 0.500 0.000 0.124
Pt 0.500 0.000 0.373
Pt 0.500 0.000 0.627
Pt 0.500 0.000 0.876
Pt 0.500 0.500 0.000
Pt 0.500 0.500 0.248
Pt 0.500 0.500 0.500
Pt 0.500 0.500 0.752

Values from the calculation:
VASP energy = -0.2666 hartree per atom
Total moment = 4.074 Bohr magnetons per cell
Fermi-level density of states = 24.39 states/eV/f.u.
Crystal system = tetragonal
Calculated formation energy = -990 meV per atom

Entry 3:
Density functional theory data (PBE-GGA) for crystalline TmPuPt4 at its relaxed geometry.

Lattice parameters (Å, degrees): 5.434 5.434 5.434 60.00 60.00 60.00
Sites, in units of the cell vectors:
Tm 0.000 0.000 0.000
Pu 0.750 0.750 0.750
Pt 0.375 0.375 0.375
Pt 0.375 0.375 0.875
Pt 0.375 0.875 0.375
Pt 0.875 0.375 0.375

Values from the calculation:
VASP energy = -0.2988 hartree per atom
Total moment = 5.469 Bohr magnetons per cell
Fermi-level density of states = 14.81 states/eV/f.u.
Crystal system = cubic
Calculated formation energy = -969 meV per atom

Entry 4:
Density functional theory data (PBE-GGA) for crystalline TmPuZnPt at its relaxed geometry.

Lattice parameters (Å, degrees): 4.966 4.966 4.966 60.00 60.00 60.00
Sites, in units of the cell vectors:
Tm 0.000 0.000 0.000
Pu 0.500 0.500 0.500
Zn 0.250 0.250 0.250
Pt 0.750 0.750 0.750

Values from the calculation:
VASP energy = -0.2616 hartree per atom
Total moment = 5.505 Bohr magnetons per cell
Fermi-level density of states = 8.03 states/eV/f.u.
Crystal system = cubic
Calculated formation energy = -588 meV per atom

Entry 5:
Density functional theory data (PBE-GGA) for crystalline PuUPt at its relaxed geometry.

Lattice parameters (Å, degrees): 4.047 4.542 6.586 90.00 95.46 90.00
Sites, in units of the cell vectors:
Pu 0.110 0.250 0.206
Pu 0.890 0.750 0.794
U 0.292 0.250 0.862
U 0.708 0.750 0.138
Pt 0.298 0.750 0.463
Pt 0.702 0.250 0.537

Values from the calculation:
VASP energy = -0.3985 hartree per atom
Total moment = 6.946 Bohr magnetons per cell
Fermi-level density of states = 6.49 states/eV/f.u.
Crystal system = monoclinic
Calculated formation energy = -290 meV per atom
E above lowest polymorph = 0.36 eV per formula unit

Entry 6:
Density functional theory data (PBE-GGA) for crystalline PuUPt6 at its relaxed geometry.

Lattice parameters (Å, degrees): 4.160 4.160 8.298 90.00 90.00 90.00
Sites, in units of the cell vectors:
Pu 0.000 0.000 0.000
U 0.000 0.000 0.500
Pt 0.000 0.500 0.256
Pt 0.000 0.500 0.744
Pt 0.500 0.000 0.256
Pt 0.500 0.000 0.744
Pt 0.500 0.500 0.000
Pt 0.500 0.500 0.500

Values from the calculation:
VASP energy = -0.3111 hartree per atom
Total moment = 6.161 Bohr magnetons per cell
Fermi-level density of states = 21.40 states/eV/f.u.
Crystal system = tetragonal
Calculated formation energy = -731 meV per atom

Entry 7:
Density functional theory data (PBE-GGA) for crystalline PuUPt3 at its relaxed geometry.

Lattice parameters (Å, degrees): 5.602 5.602 5.602 126.11 126.11 79.71
Sites, in units of the cell vectors:
Pu 0.000 0.000 0.000
U 0.638 0.638 0.000
Pt 0.256 0.756 0.500
Pt 0.343 0.343 0.000
Pt 0.756 0.256 0.500

Values from the calculation:
VASP energy = -0.3375 hartree per atom
Total moment = 7.668 Bohr magnetons per cell
Fermi-level density of states = 13.61 states/eV/f.u.
Crystal system = tetragonal
Calculated formation energy = -435 meV per atom

Entry 8:
Density functional theory data (PBE-GGA) for crystalline Pu2UPt at its relaxed geometry.

Lattice parameters (Å, degrees): 10.483 10.483 10.483 16.71 16.71 16.71
Sites, in units of the cell vectors:
Pu 0.087 0.087 0.087
Pu 0.913 0.913 0.913
U 0.000 0.000 0.000
Pt 0.500 0.500 0.500

Values from the calculation:
VASP energy = -0.4182 hartree per atom
Total moment = 10.315 Bohr magnetons per cell
Fermi-level density of states = 12.16 states/eV/f.u.
Crystal system = trigonal
Calculated formation energy = 120 meV per atom
E above lowest polymorph = 1.34 eV per formula unit

Question: Which of these has the highest VASP energy?
Answer: TmPuZnPt

Please write out number 8 again, unchanged.
Density functional theory data (PBE-GGA) for crystalline Pu2UPt at its relaxed geometry.

Lattice parameters (Å, degrees): 10.483 10.483 10.483 16.71 16.71 16.71
Sites, in units of the cell vectors:
Pu 0.087 0.087 0.087
Pu 0.913 0.913 0.913
U 0.000 0.000 0.000
Pt 0.500 0.500 0.500

Values from the calculation:
VASP energy = -0.4182 hartree per atom
Total moment = 10.315 Bohr magnetons per cell
Fermi-level density of states = 12.16 states/eV/f.u.
Crystal system = trigonal
Calculated formation energy = 120 meV per atom
E above lowest polymorph = 1.34 eV per formula unit

Question: Which formula does entry 3 have?
Answer: TmPuPt4